Entry 1:
Pd2AuSe | PBE | relaxed

a b c (Å): 3.1468 3.1468 24.2125
angles (deg): 90.00 90.00 120.00
Closest atoms and distances in Å follow each position.
Space group R-3m (No. 166, hexagonal axes)
Asymmetric unit:
Pd (0.0000, 0.0000, 0.2439) (multiplicity 6)  3 Se 2.61, 3 Au 2.83
Au (0.0000, 0.0000, 0.0000) (multiplicity 3)  6 Pd 2.83, 6 Au 3.15
Se (0.0000, 0.0000, 0.5000) (multiplicity 3)  6 Pd 2.61

Values from the calculation:
formation energy (no corrections)	-0.0703	eV/atom
Fermi-level density of states	2.33	states/eV/f.u.


Entry 2:
Pd2AuSe | PBE | relaxed

a b c (Å): 4.7466 4.7466 3.0119
angles (deg): 90.00 90.00 90.00
Closest atoms and distances in Å follow each position.
Space group P4/mmm (No. 123)
Asymmetric unit:
Pd (0.0000, 0.5000, 0.0000) (multiplicity 2)  4 Se 2.81, 4 Au 2.81, 2 Pd 3.01
Au (0.0000, 0.0000, 0.5000) (multiplicity 1)  8 Pd 2.81, 2 Au 3.01
Se (0.5000, 0.5000, 0.5000) (multiplicity 1)  8 Pd 2.81, 2 Se 3.01

Values from the calculation:
formation energy (no corrections)	-0.0431	eV/atom
Fermi-level density of states	2.35	states/eV/f.u.


Entry 3:
Pd7AuSe2 | PBE | relaxed

a b c (Å): 4.0802 4.0802 20.6709
angles (deg): 90.00 90.00 90.00
Closest atoms and distances in Å follow each position.
Space group I4/mmm (No. 139)
Asymmetric unit:
Pd (0.0000, 0.0000, 0.0000) (multiplicity 2)  8 Pd 2.86, 4 Au 2.89
Pd (0.0000, 0.5000, 0.0970) (multiplicity 8)  2 Se 2.54
Pd (0.0000, 0.5000, 0.2500) (multiplicity 4)  4 Se 2.63, 4 Pd 2.89
Au (0.0000, 0.0000, 0.5000) (multiplicity 2)  12 Pd 2.86-2.89
Se (0.0000, 0.0000, 0.1699) (multiplicity 4)  8 Pd 2.54-2.63

Values from the calculation:
formation energy (no corrections)	-0.1095	eV/atom
Fermi-level density of states	7.83	states/eV/f.u.


Entry 4:
PdAu2Se2 | PBE | relaxed

a b c (Å): 7.0371 7.0371 4.0431
angles (deg): 90.00 90.00 90.00
Closest atoms and distances in Å follow each position.
Space group P4/mbm (No. 127)
Asymmetric unit:
Pd (0.0000, 0.0000, 0.0000) (multiplicity 2)  4 Se 2.57
Au (0.1424, 0.3576, 0.5000) (multiplicity 4)  2 Se 2.66, 1 Au 2.83
Se (0.1841, 0.6841, 0.0000) (multiplicity 4)  2 Pd 2.57, 2 Au 2.66

Values from the calculation:
formation energy (no corrections)	0.1318	eV/atom
Fermi-level density of states	2.42	states/eV/f.u.